Run A
The following is a DFT calculation (PBE) of a relaxed LiInW crystal.

Output
Magnetic moment: 0.00 μB per cell
Fermi-level density of states: 0.354 states/eV/atom
Density: 9.5 g/cm³
Symmetry: Fmm2

Cell lengths 7.4020, 7.2576, 2.7983 Å; angles 81.92, 76.10, 21.98 degrees
Element x y z (fractional)
In1 0.9990 0.9990 0.0010
Li1 0.3311 0.3311 0.6689
W1 0.6699 0.6699 0.3301

=====

Run B
The following is a DFT calculation (PBE) of a relaxed LiInW crystal.

Output
Magnetic moment: 0.00 μB per cell
Fermi-level density of states: 0.656 states/eV/atom
Density: 9.4 g/cm³
Symmetry: P3m1

Cell lengths 2.9129, 2.9129, 7.3495 Å; angles 90.00, 90.00, 120.00 degrees
Element x y z (fractional)
In1 0.0000 0.0000 0.9998
Li1 0.6667 0.3333 0.3385
W1 0.3333 0.6667 0.6617

=====

Run C
The following is a DFT calculation (PBE) of a relaxed LiInW crystal.

Output
Magnetic moment: 2.04 μB per cell
Fermi-level density of states: 1.074 states/eV/atom
Density: 7.6 g/cm³
Symmetry: F-43m

Cell lengths 4.5519, 4.5519, 4.5519 Å; angles 60.00, 60.00, 60.00 degrees
Element x y z (fractional)
In1 0.0000 0.0000 0.0000
Li1 0.5000 0.5000 0.5000
W1 0.7500 0.7500 0.7500

=====

From most stable to least stable, the computed energies give run A, run B, run C.